Computed, not measured: Ho3ErTm2Sb6 after structural relaxation at the GGA-PBE level of DFT.

Properties
For the density of states at the Fermi level, the calculation gives 0.158 states/eV/atom. The total energy comes out at -5.4265 eV per atom. For the density, the calculation gives 8.2 g/cm3. The uncorrected formation energy is -105.7 kJ/mol of atoms. The total magnetic moment is 0.000 μB per atom. Its volume is 350 Å³/cell.

Geometry as CIF:
```
data_Ho3ErTm2Sb6
_cell_length_a 9.734
_cell_length_b 9.734
_cell_length_c 8.708
_cell_angle_alpha 102.86
_cell_angle_beta 102.86
_cell_angle_gamma 25.84
_space_group_name_H-M_alt 'P 1'
_space_group_IT_number 1
loop_
_space_group_symop_operation_xyz
'x,y,z'
loop_
_atom_site_label
_atom_site_type_symbol
_atom_site_fract_x
_atom_site_fract_y
_atom_site_fract_z
_atom_site_occupancy
Ho1 Ho 0.000 0.000 0.000 1
Ho2 Ho 0.334 0.334 0.667 1
Ho3 Ho 0.666 0.666 0.333 1
Er1 Er 0.000 0.000 0.500 1
Tm1 Tm 0.333 0.333 0.167 1
Tm2 Tm 0.667 0.667 0.833 1
Sb1 Sb 0.167 0.167 0.082 1
Sb2 Sb 0.167 0.167 0.585 1
Sb3 Sb 0.499 0.499 0.250 1
Sb4 Sb 0.501 0.501 0.750 1
Sb5 Sb 0.833 0.833 0.415 1
Sb6 Sb 0.833 0.833 0.918 1
```

***

Computed, not measured: YPuGa after structural relaxation at the GGA-PBE level of DFT.

Properties
For the density of states at the Fermi level, the calculation gives 1.536 states/eV/atom. The total energy comes out at -8.0809 eV per atom. For the density, the calculation gives 8.9 g/cm3. The total magnetic moment is 1.964 μB per atom. Its polymorph energy (0 for the lowest one) is 78 meV per atom. Its volume is 75 Å³/cell. For the calculated formation energy, the calculation gives -0.42 eV per formula unit.

Geometry as CIF:
```
data_YPuGa
_cell_length_a 5.021
_cell_length_b 5.021
_cell_length_c 3.431
_cell_angle_alpha 90.00
_cell_angle_beta 90.00
_cell_angle_gamma 120.00
_space_group_name_H-M_alt 'P 1'
_space_group_IT_number 1
loop_
_space_group_symop_operation_xyz
'x,y,z'
loop_
_atom_site_label
_atom_site_type_symbol
_atom_site_fract_x
_atom_site_fract_y
_atom_site_fract_z
_atom_site_occupancy
Y1 Y 0.000 0.000 0.000 1
Pu1 Pu 0.667 0.333 0.571 1
Ga1 Ga 0.333 0.667 0.291 1
```

***

Computed, not measured: CaHo2Se4 after structural relaxation at the GGA-PBE level of DFT.

Properties
The total energy comes out at -5.4879 eV per atom. For the density, the calculation gives 6.0 g/cm3. The uncorrected formation energy is -183.6 kJ/mol of atoms. The total magnetic moment is 0.000 μB per atom. Its polymorph energy (0 for the lowest one) is 14 meV per atom. Its volume is 378 Å³/cell.

Geometry as CIF:
```
data_CaHo2Se4
_cell_length_a 6.991
_cell_length_b 6.991
_cell_length_c 13.943
_cell_angle_alpha 90.00
_cell_angle_beta 90.00
_cell_angle_gamma 146.30
_space_group_name_H-M_alt 'P 1'
_space_group_IT_number 1
loop_
_space_group_symop_operation_xyz
'x,y,z'
loop_
_atom_site_label
_atom_site_type_symbol
_atom_site_fract_x
_atom_site_fract_y
_atom_site_fract_z
_atom_site_occupancy
Ca1 Ca 0.113 0.887 0.750 1
Ca2 Ca 0.887 0.113 0.250 1
Ho1 Ho 0.366 0.634 0.571 1
Ho2 Ho 0.366 0.634 0.929 1
Ho3 Ho 0.634 0.366 0.071 1
Ho4 Ho 0.634 0.366 0.429 1
Se1 Se 0.000 0.000 0.000 1
Se2 Se 0.000 0.000 0.500 1
Se3 Se 0.274 0.726 0.118 1
Se4 Se 0.274 0.726 0.382 1
Se5 Se 0.458 0.542 0.750 1
Se6 Se 0.542 0.458 0.250 1
Se7 Se 0.726 0.274 0.618 1
Se8 Se 0.726 0.274 0.882 1
```